Computed, not measured: crystalline Co2NiOsO6 at its relaxed geometry at the PBE+U level of DFT.

a = 5.466 Å, b = 5.466 Å, c = 5.466 Å
α = 55.03°, β = 55.03°, γ = 55.03°
Fractional positions:
Co 0.000 0.000 0.000
Co 0.482 0.482 0.482
Ni 0.286 0.286 0.286
Os 0.799 0.799 0.799
O 0.085 0.408 0.692
O 0.206 0.869 0.583
O 0.408 0.692 0.085
O 0.583 0.206 0.869
O 0.692 0.085 0.408
O 0.869 0.583 0.206

Space group: R3, No. 146
Calculated total energy (eV per atom): -6.342